The following is a PBE calculation of an optimized crystal structure of LiIO3, from Alexandria via LeMat-Bulk.

abc: 5.520 5.520 5.284
angles: 90.00 90.00 120.00
Fractional positions:
1 I 0.333 0.667 0.999
2 I 0.667 0.333 0.499
3 Li 0.000 0.000 0.077
4 Li 0.000 0.000 0.577
5 O 0.255 0.340 0.838
6 O 0.660 0.915 0.838
7 O 0.085 0.745 0.838
8 O 0.745 0.660 0.338
9 O 0.340 0.085 0.338
10 O 0.915 0.255 0.338

- size of the total moment (μB per cell) = 0.00
- raw formation energy (meV/atom) = -947
- final energy (eV per atom) = -4.615